A plane-wave DFT calculation with PBE+U was carried out for an optimized crystal structure of MnPt2ClF.

Cell: 4.887 4.593 4.887 Å, 90.00 90.00 90.00°
Sites, in units of the cell vectors:
Cl: 0.000 0.500 0.000
F: 0.500 0.500 0.500
Mn: 0.000 0.000 0.000
Pt: 0.000 0.000 0.500
Pt: 0.500 0.000 0.000

DFT total energy   -3.921 eV per atom
Magnetic moment   4.83 μB/f.u.
Calculated density   7.6 g cm⁻³